An optimized crystal structure of Y3ErAl. Source: the Alexandria database, functional PBE.

energy relative to the elements = -0.1463 eV/atom
density of states at the Fermi level = 12.703 states/eV per cell
raw total energy = -5.69 eV/atom
M_tot = 0.00 μB per cell

Structure (CIF):
```
data_Y3ErAl
_symmetry_space_group_name_H-M 'P -1'
_symmetry_Int_Tables_number 2
_cell_length_a 3.632
_cell_length_b 8.580
_cell_length_c 9.740
_cell_angle_alpha 75.65
_cell_angle_beta 79.26
_cell_angle_gamma 89.98
loop_
_symmetry_equiv_pos_as_xyz
'x,y,z'
'-x,-y,-z'
loop_
_atom_site_label
_atom_site_type_symbol
_atom_site_fract_x
_atom_site_fract_y
_atom_site_fract_z
Y1 Y 0.001 0.223 0.498
Y2 Y 0.183 0.885 0.134
Y3 Y 0.197 0.311 0.106
Er1 Er 0.397 0.449 0.705
Al1 Al 0.408 0.945 0.684
```


An optimized crystal structure of Y4Er9Al11. Source: the Alexandria database, functional PBE.

energy relative to the elements = -0.3324 eV/atom
density of states at the Fermi level = 29.517 states/eV per cell
raw total energy = -4.84 eV/atom
M_tot = 0.00 μB per cell

Structure (CIF):
```
data_Y4Er9Al11
_symmetry_space_group_name_H-M 'C m m m'
_symmetry_Int_Tables_number 65
_symmetry_space_group_name_Hall '-C 2 2'
_cell_length_a 15.281
_cell_length_b 22.303
_cell_length_c 3.331
_cell_angle_alpha 90.00
_cell_angle_beta 90.00
_cell_angle_gamma 90.00
loop_
_atom_site_label
_atom_site_type_symbol
_atom_site_fract_x
_atom_site_fract_y
_atom_site_fract_z
Y1 Y 0.177 0.083 0.000
Er1 Er 0.000 0.000 0.000
Er2 Er 0.107 0.403 0.000
Er3 Er 0.112 0.224 0.000
Al1 Al 0.000 0.121 0.500
Al2 Al 0.000 0.311 0.500
Al3 Al 0.000 0.500 0.500
Al4 Al 0.197 0.500 0.500
Al5 Al 0.225 0.313 0.500
```


An optimized crystal structure of YErAl. Source: the Alexandria database, functional PBE.

energy relative to the elements = -0.0883 eV/atom
density of states at the Fermi level = 6.356 states/eV per cell
raw total energy = -5.01 eV/atom
polymorph energy (0 for the lowest one) = 17.20 kJ per mole of atoms
M_tot = 0.00 μB per cell

Structure (CIF):
```
data_YErAl
_symmetry_space_group_name_H-M 'P 4/n m m'
_symmetry_Int_Tables_number 129
_cell_length_a 4.716
_cell_length_b 4.716
_cell_length_c 7.461
_cell_angle_alpha 90.00
_cell_angle_beta 90.00
_cell_angle_gamma 90.00
loop_
_symmetry_equiv_pos_as_xyz
'x,y,z'
'-x,-y,-z'
'-y+1/2,x,z'
'y+1/2,-x,-z'
'-x+1/2,-y+1/2,z'
'x+1/2,y+1/2,-z'
'y,-x+1/2,z'
'-y,x+1/2,-z'
'x+1/2,-y,-z'
'-x+1/2,y,z'
'-y,-x,-z'
'y,x,z'
'-x,y+1/2,-z'
'x,-y+1/2,z'
'y+1/2,x+1/2,-z'
'-y+1/2,-x+1/2,z'
loop_
_atom_site_label
_atom_site_type_symbol
_atom_site_fract_x
_atom_site_fract_y
_atom_site_fract_z
Y1 Y 0.250 0.250 0.219
Er1 Er 0.250 0.250 0.749
Al1 Al 0.250 0.750 0.500
```


An optimized crystal structure of YEr3Al8. Source: the Alexandria database, functional PBE.

energy relative to the elements = -0.5054 eV/atom
density of states at the Fermi level = 5.759 states/eV per cell
raw total energy = -4.68 eV/atom
polymorph energy (0 for the lowest one) = 0.91 kJ per mole of atoms
M_tot = 0.00 μB per cell

Structure (CIF):
```
data_YEr3Al8
_symmetry_space_group_name_H-M 'P 3 m 1'
_symmetry_Int_Tables_number 156
_cell_length_a 5.5287
_cell_length_b 5.5287
_cell_length_c 9.0764
_cell_angle_alpha 90.00
_cell_angle_beta 90.00
_cell_angle_gamma 120.00
loop_
_symmetry_equiv_pos_as_xyz
'x,y,z'
'-y,x-y,z'
'-x+y,-x,z'
'-y,-x,z'
'-x+y,y,z'
'x,x-y,z'
loop_
_atom_site_label
_atom_site_type_symbol
_atom_site_fract_x
_atom_site_fract_y
_atom_site_fract_z
Y1 Y 0.0000 0.0000 0.0000
Er1 Er 0.0000 0.0000 0.3655
Er2 Er 0.6667 0.3333 0.4999
Er3 Er 0.6667 0.3333 0.8641
Al1 Al 0.1621 0.3242 0.6818
Al2 Al 0.3333 0.6667 0.4327
Al3 Al 0.3333 0.6667 0.9321
Al4 Al 0.5046 0.0092 0.1834
```


An optimized crystal structure of YEr8Al2. Source: the Alexandria database, functional PBE.

energy relative to the elements = 0.0138 eV/atom
density of states at the Fermi level = 31.328 states/eV per cell
raw total energy = -4.57 eV/atom
polymorph energy (0 for the lowest one) = 11.96 kJ per mole of atoms
M_tot = 0.00 μB per cell

Structure (CIF):
```
data_YEr8Al2
_symmetry_space_group_name_H-M 'C 1 2/m 1'
_symmetry_Int_Tables_number 12
_cell_length_a 8.741
_cell_length_b 14.518
_cell_length_c 5.510
_cell_angle_alpha 90.00
_cell_angle_beta 112.78
_cell_angle_gamma 90.00
loop_
_symmetry_equiv_pos_as_xyz
'x,y,z'
'-x,-y,-z'
'-x,y,-z'
'x,-y,z'
'x+1/2,y+1/2,z'
'-x+1/2,-y+1/2,-z'
'-x+1/2,y+1/2,-z'
'x+1/2,-y+1/2,z'
loop_
_atom_site_label
_atom_site_type_symbol
_atom_site_fract_x
_atom_site_fract_y
_atom_site_fract_z
Y1 Y 0.000 0.000 0.000
Er1 Er 0.000 0.224 0.000
Er2 Er 0.096 0.500 0.796
Er3 Er 0.207 0.119 0.612
Al1 Al 0.000 0.308 0.500
```


An optimized crystal structure of Y2Er3Al3. Source: the Alexandria database, functional PBE.

energy relative to the elements = -0.2788 eV/atom
density of states at the Fermi level = 7.959 states/eV per cell
raw total energy = -5.01 eV/atom
polymorph energy (0 for the lowest one) = 1.58 kJ per mole of atoms
M_tot = 0.01 μB per cell

Structure (CIF):
```
data_Y2Er3Al3
_symmetry_space_group_name_H-M 'P m m m'
_symmetry_Int_Tables_number 47
_cell_length_a 4.764
_cell_length_b 4.777
_cell_length_c 8.778
_cell_angle_alpha 90.00
_cell_angle_beta 90.00
_cell_angle_gamma 90.00
loop_
_symmetry_equiv_pos_as_xyz
'x,y,z'
'-x,-y,-z'
'-x,-y,z'
'x,y,-z'
'x,-y,-z'
'-x,y,z'
'-x,y,-z'
'x,-y,z'
loop_
_atom_site_label
_atom_site_type_symbol
_atom_site_fract_x
_atom_site_fract_y
_atom_site_fract_z
Y1 Y 0.000 0.000 0.228
Er1 Er 0.000 0.500 0.500
Er2 Er 0.500 0.500 0.226
Al1 Al 0.000 0.500 0.000
Al2 Al 0.500 0.000 0.000
Al3 Al 0.500 0.000 0.500
```


An optimized crystal structure of Y2ErAl. Source: the Alexandria database, functional PBE.

energy relative to the elements = -0.1732 eV/atom
density of states at the Fermi level = 8.380 states/eV per cell
raw total energy = -5.48 eV/atom
polymorph energy (0 for the lowest one) = 3.08 kJ per mole of atoms
M_tot = 0.00 μB per cell

Structure (CIF):
```
data_Y2ErAl
_symmetry_space_group_name_H-M 'P m m n'
_symmetry_Int_Tables_number 59
_cell_length_a 5.330
_cell_length_b 6.691
_cell_length_c 6.038
_cell_angle_alpha 90.00
_cell_angle_beta 90.00
_cell_angle_gamma 90.00
loop_
_symmetry_equiv_pos_as_xyz
'x,y,z'
'-x,-y,-z'
'-x+1/2,-y+1/2,z'
'x+1/2,y+1/2,-z'
'x+1/2,-y,-z'
'-x+1/2,y,z'
'-x,y+1/2,-z'
'x,-y+1/2,z'
loop_
_atom_site_label
_atom_site_type_symbol
_atom_site_fract_x
_atom_site_fract_y
_atom_site_fract_z
Y1 Y 0.250 0.005 0.165
Er1 Er 0.250 0.250 0.630
Al1 Al 0.250 0.750 0.663
```


An optimized crystal structure of YErAl. Source: the Alexandria database, functional PBE.

energy relative to the elements = -0.1591 eV/atom
density of states at the Fermi level = 1.974 states/eV per cell
raw total energy = -5.08 eV/atom
polymorph energy (0 for the lowest one) = 10.37 kJ per mole of atoms
M_tot = 0.00 μB per cell

Structure (CIF):
```
data_YErAl
_symmetry_space_group_name_H-M 'P 3 m 1'
_symmetry_Int_Tables_number 156
_cell_length_a 5.0495
_cell_length_b 5.0495
_cell_length_c 3.5567
_cell_angle_alpha 90.00
_cell_angle_beta 90.00
_cell_angle_gamma 120.00
loop_
_symmetry_equiv_pos_as_xyz
'x,y,z'
'-y,x-y,z'
'-x+y,-x,z'
'-y,-x,z'
'-x+y,y,z'
'x,x-y,z'
loop_
_atom_site_label
_atom_site_type_symbol
_atom_site_fract_x
_atom_site_fract_y
_atom_site_fract_z
Y1 Y 0.0000 0.0000 0.0000
Er1 Er 0.6667 0.3333 0.4420
Al1 Al 0.3333 0.6667 0.6995
```


An optimized crystal structure of YEr7Al5. Source: the Alexandria database, functional PBE.

energy relative to the elements = -0.2298 eV/atom
density of states at the Fermi level = 23.317 states/eV per cell
raw total energy = -4.62 eV/atom
M_tot = 0.00 μB per cell

Structure (CIF):
```
data_YEr7Al5
_symmetry_space_group_name_H-M 'I m m 2'
_symmetry_Int_Tables_number 44
_cell_length_a 6.057
_cell_length_b 10.202
_cell_length_c 10.612
_cell_angle_alpha 90.00
_cell_angle_beta 90.00
_cell_angle_gamma 90.00
loop_
_symmetry_equiv_pos_as_xyz
'x,y,z'
'-x,-y,z'
'-x,y,z'
'x,-y,z'
'x+1/2,y+1/2,z+1/2'
'-x+1/2,-y+1/2,z+1/2'
'-x+1/2,y+1/2,z+1/2'
'x+1/2,-y+1/2,z+1/2'
loop_
_atom_site_label
_atom_site_type_symbol
_atom_site_fract_x
_atom_site_fract_y
_atom_site_fract_z
Y1 Y 0.000 0.000 0.000
Er1 Er 0.000 0.000 0.346
Er2 Er 0.000 0.000 0.673
Er3 Er 0.000 0.306 0.508
Er4 Er 0.000 0.338 0.023
Er5 Er 0.000 0.500 0.742
Al1 Al 0.000 0.500 0.277
Al2 Al 0.247 0.241 0.770
```


An optimized crystal structure of YEr3Al2. Source: the Alexandria database, functional PBE.

energy relative to the elements = -0.3008 eV/atom
density of states at the Fermi level = 9.509 states/eV per cell
raw total energy = -4.91 eV/atom
polymorph energy (0 for the lowest one) = 0.00 kJ per mole of atoms
M_tot = 0.00 μB per cell

Structure (CIF):
```
data_YEr3Al2
_symmetry_space_group_name_H-M 'P m c 21'
_symmetry_Int_Tables_number 26
_cell_length_a 5.060
_cell_length_b 9.399
_cell_length_c 6.537
_cell_angle_alpha 90.00
_cell_angle_beta 90.00
_cell_angle_gamma 90.00
loop_
_symmetry_equiv_pos_as_xyz
'x,y,z'
'-x,-y,z+1/2'
'-x,y,z'
'x,-y,z+1/2'
loop_
_atom_site_label
_atom_site_type_symbol
_atom_site_fract_x
_atom_site_fract_y
_atom_site_fract_z
Y1 Y 0.000 0.041 0.000
Er1 Er 0.000 0.323 0.654
Er2 Er 0.500 0.181 0.287
Er3 Er 0.500 0.458 0.941
Al1 Al 0.000 0.355 0.178
Al2 Al 0.500 0.146 0.762
```